VASP calculation (PBE-GGA) on LiSbHSe2 after structural relaxation.

The structure in extended XYZ format:
```
5
Lattice="-1.724 -3.517 -3.077 3.576 -1.415 -0.386 -0.775 -3.019 3.885" Properties=species:S:1:pos:R:3 pbc="T T T"
H 0.000 0.000 0.000
Se -0.388 -1.510 1.942
Se -0.862 -1.758 -1.539
Li 0.538 -3.975 0.211
Sb 1.788 -0.707 -0.193
```

Values from the calculation:
The calculation puts the total energy at -15.84 eV per cell. The calculation puts the polymorph energy (0 for the lowest one) at 0 meV per atom. As for the space group: P4/mmm.

***

VASP calculation (PBE-GGA) on LiSbHSe2 after structural relaxation.

The structure in extended XYZ format:
```
5
Lattice="-3.427 0.090 -2.849 1.695 -4.504 -2.180 -2.466 -2.328 2.892" Properties=species:S:1:pos:R:3 pbc="T T T"
Li 0.000 0.000 0.000
Sb 0.847 -2.252 -1.090
Se -1.713 0.045 -1.425
Se -1.233 -1.164 1.446
H -2.099 -3.371 -1.068
```

Values from the calculation:
The calculation puts the total energy at -13.07 eV per cell. The calculation puts the polymorph energy (0 for the lowest one) at 553 meV per atom. As for the space group: P4/mmm.

***

VASP calculation (PBE-GGA) on Sr2Li5Sb3H2 after structural relaxation.

The structure in extended XYZ format:
```
12
Lattice="-0.582 2.706 3.839 -0.639 -3.878 2.636 11.427 0.136 -1.279" Properties=species:S:1:pos:R:3 pbc="T T T"
Li 8.879 0.971 3.580
Li 8.850 -2.320 2.978
Li 1.356 1.284 2.218
Li 1.327 -2.007 1.616
Li -0.611 -0.586 3.238
Sb 0.000 0.000 0.000
Sb 3.350 -0.139 0.606
Sb 6.856 -0.897 4.589
Sr 3.477 -0.756 3.978
Sr 6.729 -0.280 1.218
H 9.067 -0.377 1.642
H 1.139 -0.659 3.554
```

Values from the calculation:
The calculation puts the total energy at -39.61 eV per cell. As for the space group: I4/mmm.

***

VASP calculation (PBE-GGA) on LiTa2SbH after structural relaxation.

The structure in extended XYZ format:
```
5
Lattice="-0.376 -1.575 -4.903 4.358 -1.823 0.251 -1.973 -4.496 1.596" Properties=species:S:1:pos:R:3 pbc="T T T"
Li 2.179 -0.912 0.126
Sb 0.000 0.000 0.000
H 1.004 -3.947 -1.528
Ta -0.986 -2.248 0.798
Ta -0.188 -0.787 -2.451
```

Values from the calculation:
The calculation puts the total energy at -23.17 eV per cell. As for the space group: P4/mmm.

***

VASP calculation (PBE-GGA) on LiTbSbH after structural relaxation.

The structure in extended XYZ format:
```
8
Lattice="4.157 0.000 0.000 0.000 4.157 0.000 0.000 0.000 8.377" Properties=species:S:1:pos:R:3 pbc="T T T"
Li 2.079 2.079 4.188
Li 0.000 0.000 4.188
Tb 0.000 2.079 7.352
Tb 2.079 0.000 1.025
H 2.079 2.079 0.000
H 0.000 0.000 0.000
Sb 2.079 0.000 6.026
Sb 0.000 2.079 2.351
```

Values from the calculation:
The calculation puts the total energy at -34.52 eV per cell. As for the space group: P4/nmm.

***

VASP calculation (PBE-GGA) on Li4Th2Sb3H2 after structural relaxation.

The structure in extended XYZ format:
```
11
Lattice="4.345 0.000 0.000 0.000 4.345 0.000 -2.173 -2.173 12.348" Properties=species:S:1:pos:R:3 pbc="T T T"
Li 2.173 0.000 1.888
Li 2.173 0.000 10.461
Li 0.000 2.173 10.461
Li 0.000 2.173 1.888
Sb 2.173 2.173 8.195
Sb 0.000 0.000 4.153
Sb 0.000 0.000 0.000
Th 2.173 2.173 4.830
Th 0.000 0.000 7.519
H 0.000 0.000 9.809
H 2.173 2.173 2.539
```

Values from the calculation:
The calculation puts the total energy at -47.85 eV per cell. As for the space group: I4/mmm.

***

VASP calculation (PBE-GGA) on LiTlSbH2 after structural relaxation.

The structure in extended XYZ format:
```
5
Lattice="4.200 0.000 0.000 0.000 5.365 0.000 0.000 0.000 4.200" Properties=species:S:1:pos:R:3 pbc="T T T"
Sb 0.000 2.683 0.000
Tl 2.100 2.683 2.100
H 2.100 0.000 0.000
H 0.000 0.000 2.100
Li 0.000 0.000 0.000
```

Values from the calculation:
The calculation puts the total energy at -12.62 eV per cell. As for the space group: P4/mmm.

***

VASP calculation (PBE-GGA) on LiSb2HW after structural relaxation.

The structure in extended XYZ format:
```
5
Lattice="-0.373 -3.117 4.264 -1.255 -2.740 -2.113 4.964 -1.668 -0.785" Properties=species:S:1:pos:R:3 pbc="T T T"
Sb -0.187 -1.559 2.132
Sb 2.482 -0.834 -0.392
W 0.000 0.000 0.000
H -0.627 -1.370 -1.057
Li 1.668 -3.763 0.683
```

Values from the calculation:
The calculation puts the total energy at -24.68 eV per cell. As for the space group: P4/mmm.

***

VASP calculation (PBE-GGA) on Li2ZrSbH after structural relaxation.

The structure in extended XYZ format:
```
5
Lattice="4.194 0.000 0.000 0.000 4.194 0.000 0.000 0.000 4.320" Properties=species:S:1:pos:R:3 pbc="T T T"
Li 2.097 0.000 0.000
Li 0.000 2.097 0.000
Sb 2.097 2.097 2.160
H 0.000 0.000 0.000
Zr 0.000 0.000 2.160
```

Values from the calculation:
The calculation puts the total energy at -22.25 eV per cell. As for the space group: P4/mmm.

***

VASP calculation (PBE-GGA) on LiSc2H after structural relaxation.

The structure in extended XYZ format:
```
4
Lattice="-4.541 0.020 7.272 -2.262 2.184 7.976 -4.885 3.082 6.336" Properties=species:S:1:pos:R:3 pbc="T T T"
Sc -1.385 0.626 2.557
Sc -10.303 4.659 19.025
H -5.844 2.643 10.791
Li 0.000 0.000 0.000
```

Values from the calculation:
The calculation puts the total energy at -18.18 eV per cell. The calculation puts the polymorph energy (0 for the lowest one) at 49 meV per atom. As for the space group: R-3m.

***

VASP calculation (PBE-GGA) on LiSc2H after structural relaxation.

The structure in extended XYZ format:
```
8
Lattice="-4.176 0.069 4.689 4.227 -2.665 3.803 1.192 1.966 5.237" Properties=species:S:1:pos:R:3 pbc="T T T"
Li -1.479 0.368 7.086
Li 0.000 0.000 0.000
H 0.025 -1.298 4.246
H 2.722 -0.999 6.643
Sc 1.392 0.198 7.543
Sc -1.310 0.194 4.183
Sc 1.944 -1.158 4.804
Sc 0.459 -0.495 10.927
```

Values from the calculation:
The calculation puts the total energy at -36.23 eV per cell. The calculation puts the polymorph energy (0 for the lowest one) at 66 meV per atom. As for the space group: I-42d.

***

VASP calculation (PBE-GGA) on LiScH4 after structural relaxation.

The structure in extended XYZ format:
```
6
Lattice="3.338 0.000 -0.001 0.000 3.338 -0.001 0.003 0.004 4.690" Properties=species:S:1:pos:R:3 pbc="T T T"
H 0.007 1.664 3.531
H 0.005 1.660 1.141
H 1.675 3.333 3.530
H 1.673 3.329 1.140
Sc 1.676 1.664 4.680
Li 0.006 3.331 2.335
```

Values from the calculation:
The calculation puts the total energy at -23.97 eV per cell. As for the space group: P4/mmm.

***

VASP calculation (PBE-GGA) on Li3ScH after structural relaxation.

The structure in extended XYZ format:
```
5
Lattice="-0.359 -3.658 -2.294 4.029 -1.112 1.142 -1.553 -2.038 3.494" Properties=species:S:1:pos:R:3 pbc="T T T"
Li 2.014 -0.556 0.571
Li -0.777 -1.019 1.747
Li -0.180 -1.829 -1.147
Sc 1.058 -3.404 1.171
H 0.000 0.000 0.000
```

Values from the calculation:
The calculation puts the total energy at -14.30 eV per cell. As for the space group: Pm-3m.

***

VASP calculation (PBE-GGA) on LiSc3H after structural relaxation.

The structure in extended XYZ format:
```
5
Lattice="-0.485 -2.345 -3.858 4.514 -0.183 -0.456 0.080 -3.884 2.351" Properties=species:S:1:pos:R:3 pbc="T T T"
Sc 0.040 -1.942 1.175
Sc 2.257 -0.091 -0.228
Sc -0.243 -1.173 -1.929
H 0.000 0.000 0.000
Li 2.055 -3.206 -0.982
```

Values from the calculation:
The calculation puts the total energy at -24.30 eV per cell. The calculation puts the polymorph energy (0 for the lowest one) at 0 meV per atom. As for the space group: Pm-3m.

***

VASP calculation (PBE-GGA) on LiScH3 after structural relaxation.

The structure in extended XYZ format:
```
5
Lattice="3.391 0.000 0.000 0.000 3.391 0.000 0.000 0.000 3.391" Properties=species:S:1:pos:R:3 pbc="T T T"
Sc 1.695 1.695 1.695
H 0.000 0.000 1.695
H 0.000 1.695 0.000
H 1.695 0.000 0.000
Li 0.000 0.000 0.000
```

Values from the calculation:
The calculation puts the total energy at -19.89 eV per cell. The calculation puts the polymorph energy (0 for the lowest one) at 0 meV per atom. As for the space group: Pm-3m.

***

VASP calculation (PBE-GGA) on LiScH after structural relaxation.

The structure in extended XYZ format:
```
6
Lattice="3.119 0.000 0.000 -1.560 2.701 0.000 0.000 0.000 10.805" Properties=species:S:1:pos:R:3 pbc="T T T"
Sc 1.560 0.900 6.692
Sc 0.000 1.801 4.113
H 1.560 0.900 2.894
H 0.000 1.801 7.911
Li 0.000 1.801 1.250
Li 1.560 0.900 9.554
```

Values from the calculation:
The calculation puts the total energy at -24.11 eV per cell. The calculation puts the polymorph energy (0 for the lowest one) at 0 meV per atom. As for the space group: P-3m1.

***

VASP calculation (PBE-GGA) on Li3Sc5H12 after structural relaxation.

The structure in extended XYZ format:
```
80
Lattice="10.052 0.000 0.000 -3.351 9.477 0.000 -3.351 -4.738 8.207" Properties=species:S:1:pos:R:3 pbc="T T T"
H 0.570 6.578 2.251
H 2.245 1.840 5.956
H 6.131 3.709 2.719
H -5.129 3.753 7.436
H 0.570 1.869 0.468
H 5.129 1.209 4.571
H -2.245 -1.029 5.489
H 7.687 2.953 0.614
H 4.804 -1.124 3.490
H 5.715 -1.424 6.968
H 3.248 8.491 0.771
H 1.897 4.829 6.822
H 3.248 2.194 2.865
H -4.337 1.785 7.593
H -0.103 -1.209 4.571
H -0.986 4.378 1.853
H -0.689 -1.785 7.593
H -0.222 4.648 6.822
H 8.479 0.985 0.771
H 0.103 2.544 5.342
H 2.245 -2.869 7.739
H 1.105 2.899 2.251
H -1.573 7.283 2.865
H 3.453 5.947 3.636
H 2.661 5.099 1.853
H 3.128 3.614 4.718
H 4.040 3.314 1.239
H -2.781 1.029 5.489
H -2.364 6.163 1.239
H 4.337 0.361 6.354
H 0.103 -3.753 7.436
H -1.897 1.215 3.333
H 4.923 -2.544 5.342
H 5.596 5.768 2.719
H 1.105 7.607 0.468
H 2.781 2.869 7.739
H -0.689 1.424 6.968
H 0.222 1.124 3.490
H 4.040 6.523 0.614
H 3.573 0.091 1.385
H -1.453 5.863 4.718
H -3.573 5.953 4.875
H 2.781 -1.840 5.956
H 0.689 -0.361 6.354
H 6.923 -1.215 3.333
H 5.248 3.523 4.875
H -1.778 3.530 3.636
H 1.453 -0.091 1.385
Sc -3.351 2.369 4.104
Sc 3.351 4.738 0.000
Sc 0.838 2.961 7.181
Sc -0.838 0.592 5.129
Sc 4.188 2.369 6.155
Sc 4.188 -2.961 7.181
Sc 2.513 7.108 2.052
Sc 4.188 4.146 3.078
Sc 2.513 1.777 1.026
Sc -1.675 -2.369 4.104
Sc 1.675 2.369 4.104
Sc 0.838 -2.369 6.155
Sc 5.026 0.000 0.000
Sc 3.351 -2.369 4.104
Sc -2.513 5.331 3.078
Sc -0.838 7.700 1.026
Sc -1.675 4.738 0.000
Sc 5.863 -0.592 5.129
Sc -0.838 2.369 2.052
Sc 0.000 0.000 0.000
Li 2.513 0.000 6.155
Li 0.838 4.738 2.052
Li -2.513 1.777 7.181
Li 5.863 6.515 1.026
Li 2.513 5.331 5.129
Li -0.838 4.146 5.129
Li 7.539 0.000 2.052
Li 5.863 2.961 1.026
Li -2.513 -1.777 7.181
Li 0.838 -0.592 3.078
Li -4.188 4.738 6.155
Li 4.188 0.592 3.078
```

Values from the calculation:
The calculation puts the total energy at -345.23 eV per cell. As for the space group: Ia-3d.

***

VASP calculation (PBE-GGA) on LiScH3 after structural relaxation.

The structure in extended XYZ format:
```
5
Lattice="3.785 -0.135 -0.129 0.039 3.788 -0.129 0.039 0.038 3.790" Properties=species:S:1:pos:R:3 pbc="T T T"
H 2.372 2.266 0.012
H 0.220 2.365 2.263
H 2.372 0.112 2.263
Li 3.800 3.630 3.474
Sc 2.081 1.987 1.902
```

Values from the calculation:
The calculation puts the total energy at -19.84 eV per cell. The calculation puts the polymorph energy (0 for the lowest one) at 9 meV per atom. As for the space group: R3m.

***

VASP calculation (PBE-GGA) on LiSc2H after structural relaxation.

The structure in extended XYZ format:
```
4
Lattice="-2.250 -2.142 -0.976 -1.640 -1.755 2.198 -6.699 4.209 0.773" Properties=species:S:1:pos:R:3 pbc="T T T"
Li -5.304 0.166 0.998
Sc -5.842 3.335 0.715
Sc -2.149 -0.430 0.465
H -9.288 1.608 1.587
```

Values from the calculation:
The calculation puts the total energy at -18.38 eV per cell. The calculation puts the polymorph energy (0 for the lowest one) at 0 meV per atom. As for the space group: R3m.

***

VASP calculation (PBE-GGA) on LiSc4H10 after structural relaxation.

The structure in extended XYZ format:
```
15
Lattice="-0.078 1.172 3.153 2.410 -0.875 2.180 8.243 11.016 -2.094" Properties=species:S:1:pos:R:3 pbc="T T T"
H 8.575 10.465 -0.086
H 6.393 7.273 1.046
H 3.504 2.011 4.726
H 2.644 2.829 0.809
H 7.930 8.484 2.430
H 1.999 0.848 3.325
H 4.878 6.096 -0.349
H 4.182 4.040 2.193
H 5.696 5.217 3.588
H 7.071 9.302 -1.487
Sc 3.044 2.376 2.783
Sc 7.530 8.937 0.456
Sc 6.818 6.857 3.007
Sc 3.757 4.456 0.232
Li 0.000 0.000 0.000
```

Values from the calculation:
The calculation puts the total energy at -69.07 eV per cell. As for the space group: R-3m.